Entry 1:
ScTaFe2Rh: optimized geometry, PBE.

## Properties
- crystal system = tetragonal
- energy relative to the elements (eV/atom) = 1.312
- total magnetic moment (μB/cell) = 3.5
- D(E_F) (states/eV/f.u.) = 5.73
- density (g cm⁻³) = 7.44

Cell lengths 4.405, 4.405, 5.065 Å; angles 90.00, 90.00, 90.00 degrees
Space group P4/mmm (No. 123)
Symmetry-distinct sites (fractional):
1 Sc 0.000 0.000 0.000 (multiplicity 1)
2 Ta 0.000 0.000 0.500 (multiplicity 1)
3 Fe 0.000 0.500 0.500 (multiplicity 2)
4 Rh 0.500 0.500 0.000 (multiplicity 1)

---

Entry 2:
TmScFeRh: optimized geometry, PBE.

## Properties
- crystal system = cubic
- energy relative to the elements (eV/atom) = -0.435
- total magnetic moment (μB/cell) = 1.0
- D(E_F) (states/eV/f.u.) = 4.47
- density (g cm⁻³) = 8.99

Cell lengths 6.504, 6.504, 6.504 Å; angles 90.00, 90.00, 90.00 degrees
Space group F-43m (No. 216)
Symmetry-distinct sites (fractional):
1 Tm 0.000 0.000 0.000 (multiplicity 4)
2 Sc 0.000 0.000 0.500 (multiplicity 4)
3 Fe 0.250 0.250 0.250 (multiplicity 4)
4 Rh 0.250 0.250 0.750 (multiplicity 4)

---

Entry 3:
YScFe2Rh: optimized geometry, PBE.

## Properties
- crystal system = tetragonal
- energy relative to the elements (eV/atom) = 1.124
- total magnetic moment (μB/cell) = 4.4
- D(E_F) (states/eV/f.u.) = 7.53
- density (g cm⁻³) = 5.36

Cell lengths 4.682, 4.682, 4.927 Å; angles 90.00, 90.00, 90.00 degrees
Space group P4/mmm (No. 123)
Symmetry-distinct sites (fractional):
1 Y 0.000 0.000 0.000 (multiplicity 1)
2 Sc 0.500 0.500 0.500 (multiplicity 1)
3 Fe 0.000 0.500 0.000 (multiplicity 2)
4 Rh 0.000 0.000 0.500 (multiplicity 1)

---

Entry 4:
ZrScFeRh: optimized geometry, PBE.

## Properties
- crystal system = tetragonal
- energy relative to the elements (eV/atom) = -0.552
- total magnetic moment (μB/cell) = 0.2
- D(E_F) (states/eV/f.u.) = 1.97
- density (g cm⁻³) = 7.41

Cell lengths 3.205, 3.205, 6.435 Å; angles 90.00, 90.00, 90.00 degrees
Space group P4mm (No. 99)
Symmetry-distinct sites (fractional):
1 Zr 0.000 0.000 0.000 (multiplicity 1)
2 Sc 0.000 0.000 0.521 (multiplicity 1)
3 Fe 0.500 0.500 0.771 (multiplicity 1)
4 Rh 0.500 0.500 0.265 (multiplicity 1)

---

Entry 5:
FeRh2Se4: optimized geometry, PBE.

## Properties
- crystal system = monoclinic
- energy relative to the elements, uncorrected (meV per atom) = -331
- total magnetic moment (μB/cell) = 6.1
- D(E_F) (states/eV/f.u.) = 5.09
- density (g cm⁻³) = 7.47

Cell lengths 12.658, 3.633, 6.239 Å; angles 90.00, 116.56, 90.00 degrees
Space group Cm (No. 8)
Symmetry-distinct sites (fractional):
1 Fe 0.000 0.000 0.000 (multiplicity 2)
2 Rh 0.249 0.500 0.682 (multiplicity 2)
3 Rh 0.478 0.000 0.385 (multiplicity 2)
4 Se 0.105 0.000 0.702 (multiplicity 2)
5 Se 0.132 0.500 0.233 (multiplicity 2)
6 Se 0.350 0.500 0.137 (multiplicity 2)
7 Se 0.386 0.000 0.675 (multiplicity 2)

---

Entry 6:
FeRhSe4: optimized geometry, PBE.

## Properties
- crystal system = monoclinic
- energy relative to the elements, uncorrected (meV per atom) = -362
- total magnetic moment (μB/cell) = 1.0
- D(E_F) (states/eV/f.u.) = 3.93
- distance to the lowest polymorph of the same formula (meV/atom) = 0
- density (g cm⁻³) = 7.55

Cell lengths 5.934, 5.930, 5.930 Å; angles 90.00, 90.39, 90.00 degrees
Space group P2_1/c (No. 14)
Symmetry-distinct sites (fractional):
1 Fe 0.000 0.000 0.000 (multiplicity 2)
2 Rh 0.500 0.000 0.500 (multiplicity 2)
3 Se 0.114 0.132 0.633 (multiplicity 4)
4 Se 0.364 0.618 0.617 (multiplicity 4)

---

Entry 7:
Fe3RhSe: optimized geometry, PBE.

## Properties
- crystal system = cubic
- energy relative to the elements, uncorrected (meV per atom) = 791
- total magnetic moment (μB/cell) = 8.7
- D(E_F) (states/eV/f.u.) = 3.49
- distance to the lowest polymorph of the same formula (meV/atom) = 0
- density (g cm⁻³) = 7.11

Cell lengths 4.337, 4.337, 4.337 Å; angles 90.00, 90.00, 90.00 degrees
Space group Pm-3m (No. 221)
Symmetry-distinct sites (fractional):
1 Fe 0.000 0.000 0.500 (multiplicity 3)
2 Rh 0.500 0.500 0.500 (multiplicity 1)
3 Se 0.000 0.000 0.000 (multiplicity 1)

---

Entry 8:
Fe3RhSe: optimized geometry, PBE.

## Properties
- crystal system = cubic
- energy relative to the elements, uncorrected (meV per atom) = 1074
- total magnetic moment (μB/cell) = 11.0
- D(E_F) (states/eV/f.u.) = 5.70
- distance to the lowest polymorph of the same formula (meV/atom) = 282
- density (g cm⁻³) = 5.82

Cell lengths 4.638, 4.638, 4.638 Å; angles 90.00, 90.00, 90.00 degrees
Space group Pm-3m (No. 221)
Symmetry-distinct sites (fractional):
1 Fe 0.000 0.000 0.500 (multiplicity 3)
2 Rh 0.000 0.000 0.000 (multiplicity 1)
3 Se 0.500 0.500 0.500 (multiplicity 1)

---

Entry 9:
FeRh2Se6: optimized geometry, PBE.

## Properties
- crystal system = tetragonal
- energy relative to the elements, uncorrected (meV per atom) = -163
- total magnetic moment (μB/cell) = 4.9
- D(E_F) (states/eV/f.u.) = 8.49
- density (g cm⁻³) = 6.64

Cell lengths 5.657, 5.657, 11.498 Å; angles 90.00, 90.00, 90.00 degrees
Space group P4_2/mnm (No. 136)
Symmetry-distinct sites (fractional):
1 Fe 0.000 0.000 0.000 (multiplicity 2)
2 Rh 0.000 0.000 0.336 (multiplicity 4)
3 Se 0.188 0.188 0.162 (multiplicity 8)
4 Se 0.201 0.201 0.500 (multiplicity 4)

---

Entry 10:
Fe4RhSe: optimized geometry, PBE.

## Properties
- crystal system = cubic
- energy relative to the elements, uncorrected (meV per atom) = 299
- total magnetic moment (μB/cell) = 49.4
- D(E_F) (states/eV/f.u.) = 5.93
- density (g cm⁻³) = 8.09

Cell lengths 6.928, 6.928, 6.928 Å; angles 90.00, 90.00, 90.00 degrees
Space group F-43m (No. 216)
Symmetry-distinct sites (fractional):
1 Fe 0.125 0.125 0.125 (multiplicity 16)
2 Rh 0.250 0.250 0.750 (multiplicity 4)
3 Se 0.000 0.000 0.500 (multiplicity 4)

---

Entry 11:
FeRh2Se4: optimized geometry, PBE.

## Properties
- crystal system = monoclinic
- energy relative to the elements, uncorrected (meV per atom) = -329
- total magnetic moment (μB/cell) = 5.5
- D(E_F) (states/eV/f.u.) = 4.90
- density (g cm⁻³) = 7.40

Cell lengths 12.537, 3.711, 6.483 Å; angles 90.00, 120.76, 90.00 degrees
Space group C2/m (No. 12)
Symmetry-distinct sites (fractional):
1 Fe 0.000 0.000 0.000 (multiplicity 2)
2 Rh 0.238 0.500 0.722 (multiplicity 4)
3 Se 0.120 0.000 0.446 (multiplicity 4)
4 Se 0.132 0.500 0.970 (multiplicity 4)

---

Entry 12:
FeRhSe4: optimized geometry, PBE.

## Properties
- crystal system = cubic
- energy relative to the elements, uncorrected (meV per atom) = 1060
- total magnetic moment (μB/cell) = 19.2
- D(E_F) (states/eV/f.u.) = 7.60
- distance to the lowest polymorph of the same formula (meV/atom) = 1423
- density (g cm⁻³) = 6.62

Cell lengths 7.810, 7.810, 7.810 Å; angles 90.00, 90.00, 90.00 degrees
Space group F-43m (No. 216)
Symmetry-distinct sites (fractional):
1 Fe 0.000 0.000 0.000 (multiplicity 4)
2 Rh 0.250 0.250 0.750 (multiplicity 4)
3 Se 0.124 0.124 0.376 (multiplicity 16)